1.
5
Lattice="6.214 0.000 0.000 0.000 6.214 0.000 0.000 0.000 6.552" Properties=species:S:1:pos:R:3 comment="BaSr2CaGe PBE relaxed" final_energy_ev_per_cell=-12.61 ef_mev_per_atom=-140.3 volume_a3_per_atom=50.6 pbc="T T T"
Sr 0.000 3.107 0.000
Sr 3.107 0.000 0.000
Ge 0.000 0.000 0.000
Ca 3.107 3.107 3.276
Ba 0.000 0.000 3.276


2.
5
Lattice="-3.359 5.291 -2.116 -5.124 -3.879 -1.567 -2.224 0.752 5.410" Properties=species:S:1:pos:R:3 comment="Ba2SrCaGe PBE relaxed" final_energy_ev_per_cell=-12.96 ef_mev_per_atom=-161.8 volume_a3_per_atom=51.6 pbc="T T T"
Sr -5.353 1.082 0.863
Ge 0.000 0.000 0.000
Ca -1.112 0.376 2.705
Ba -2.562 -1.940 -0.783
Ba -1.679 2.646 -1.058


3.
10
Lattice="-2.665 3.652 -0.966 -3.719 -2.743 -0.112 -1.637 1.762 11.184" Properties=species:S:1:pos:R:3 comment="Ba2CaZn3Ge4 PBE relaxed" final_energy_ev_per_cell=-32.17 ef_mev_per_atom=-403.2 volume_a3_per_atom=24.4 pbc="T T T"
Ba -1.720 2.243 2.165
Ba -3.109 -0.026 8.480
Ca -4.010 1.336 5.053
Zn -0.819 0.881 5.592
Zn -2.766 3.369 9.310
Zn -2.063 -1.152 1.335
Ge -3.192 0.454 -0.539
Ge 0.000 0.000 0.000
Ge -2.397 2.972 6.787
Ge -2.433 -0.755 3.858


4.
6
Lattice="4.401 0.000 0.000 -2.201 3.812 0.000 0.000 0.000 8.901" Properties=species:S:1:pos:R:3 comment="BaCaZn2Ge2 PBE relaxed" final_energy_ev_per_cell=-18.78 ef_mev_per_atom=-512.2 volume_a3_per_atom=24.9 pbc="T T T"
Ba 0.000 0.000 0.000
Ca 0.000 0.000 4.450
Zn 2.201 1.271 2.529
Zn 0.000 2.541 6.372
Ge 2.201 1.271 6.472
Ge 0.000 2.541 2.429


5.
4
Lattice="4.180 0.000 0.000 2.090 3.620 0.000 2.089 1.206 10.329" Properties=species:S:1:pos:R:3 comment="Ba2CaH PBE relaxed" final_energy_ev_per_cell=-9.54 volume_a3_per_atom=39.1 pbc="T T T"
Ba 2.089 1.206 8.675
Ba 2.090 1.207 1.649
Ca 4.179 2.413 5.175
H 6.269 3.619 10.322


6.
11
Lattice="5.789 -0.003 -0.143 0.003 5.766 0.002 -0.504 -0.002 5.769" Properties=species:S:1:pos:R:3 comment="Ba2Ca2H7 PBE relaxed" final_energy_ev_per_cell=-36.47 volume_a3_per_atom=17.5 pbc="T T T"
Ba 4.009 2.879 4.267
Ba 1.279 2.882 1.361
Ca 4.046 -0.002 1.494
Ca 1.241 5.763 4.134
H -0.251 1.338 2.885
H 2.896 4.425 -0.070
H 5.539 4.422 2.743
H 2.391 1.336 5.697
H 0.000 0.000 0.000
H 2.645 4.457 2.814
H 2.643 1.304 2.813


7.
10
Lattice="-3.902 0.032 1.605 -1.632 -4.419 -3.879 2.635 -2.423 6.451" Properties=species:S:1:pos:R:3 comment="BaCaH3 PBE relaxed" final_energy_ev_per_cell=-31.75 volume_a3_per_atom=17.3 pbc="T T T"
Ba -0.310 -3.499 -0.684
Ba 1.313 -3.343 3.256
Ca -1.508 -1.112 1.901
Ca -1.391 -5.698 2.276
H -2.403 -1.208 -0.271
H 0.387 -5.274 1.045
H -3.131 -3.179 -2.002
H -1.450 -3.405 2.089
H 0.616 -1.568 1.527
H -0.634 -1.196 4.028


8.
8
Lattice="-2.212 5.770 1.859 -3.233 -1.918 2.107 3.941 -0.670 5.438" Properties=species:S:1:pos:R:3 comment="BaCaH2 PBE relaxed" final_energy_ev_per_cell=-24.18 volume_a3_per_atom=23.4 pbc="T T T"
Ba 0.152 1.399 1.508
Ba 1.577 3.700 5.789
Ca -2.187 3.445 4.188
Ca 0.683 -0.263 5.215
H -2.722 1.926 1.983
H -0.504 -0.344 3.320
H -0.999 3.526 6.083
H -1.616 -0.959 1.053


9.
7
Lattice="5.302 0.000 0.000 0.000 5.302 0.000 -2.651 -2.651 10.655" Properties=species:S:1:pos:R:3 comment="Ba2Ca4H PBE relaxed" final_energy_ev_per_cell=-15.19 volume_a3_per_atom=42.8 pbc="T T T"
H 0.000 0.000 0.000
Ca 2.651 2.651 8.136
Ca 0.000 0.000 2.519
Ca 0.000 2.651 0.000
Ca 2.651 0.000 0.000
Ba 2.651 2.651 3.836
Ba 0.000 0.000 6.818


10.
4
Lattice="4.187 0.000 0.000 2.093 3.626 0.000 2.093 1.209 10.260" Properties=species:S:1:pos:R:3 comment="Ba2CaH PBE relaxed" final_energy_ev_per_cell=-9.57 volume_a3_per_atom=38.9 pbc="T T T"
H 0.000 0.000 0.000
Ca 4.187 2.417 5.130
Ba 2.093 1.209 1.666
Ba 6.280 3.626 8.594


11.
3
Lattice="-1.023 1.211 3.684 2.265 -3.275 -0.478 5.463 3.737 0.288" Properties=species:S:1:pos:R:3 comment="BaCaH PBE relaxed" final_energy_ev_per_cell=-7.62 volume_a3_per_atom=30.8 pbc="T T T"
H 1.972 1.015 2.397
Ca 4.222 0.309 1.071
Ba 0.511 0.350 0.027


12.
4
Lattice="0.000 4.509 4.509 4.509 0.000 4.509 4.509 4.509 0.000" Properties=species:S:1:pos:R:3 comment="Ba2CaH PBE relaxed" final_energy_ev_per_cell=-7.26 volume_a3_per_atom=45.8 pbc="T T T"
H 0.000 0.000 0.000
Ca 4.509 4.509 4.509
Ba 2.254 2.254 2.254
Ba 6.763 6.763 6.763